Density functional theory data (GGA+U) for Li2NiO2 after structural relaxation.

Properties
excess energy over the best structure of this formula in the dataset = 354 meV per atom
spin magnetization = 0.8 μB/cell
density of states at the Fermi level = 0.151 states/eV per atom

a b c (Å): 5.3558 5.3558 2.8971
angles (deg): 90.00 90.00 90.00
Closest atoms and distances in Å follow each position.
Fractional positions:
1 Ni 0.0000 0.0000 0.0000  4 O 1.97
2 Ni 0.5000 0.5000 0.0000  4 O 1.97
3 O 0.3202 0.8202 0.0000  2 Ni 1.97, 2 Li 2.01
4 O 0.8202 0.6798 0.0000  2 Ni 1.97, 2 Li 2.01
5 O 0.6798 0.1798 0.0000  2 Ni 1.97, 2 Li 2.01
6 O 0.1798 0.3202 0.0000  2 Ni 1.97, 2 Li 2.01
7 Li 0.1365 0.6365 0.5000  6 O 2.01-2.24, 1 Li 2.07
8 Li 0.6365 0.8635 0.5000  6 O 2.01-2.24, 1 Li 2.07
9 Li 0.8635 0.3635 0.5000  6 O 2.01-2.24, 1 Li 2.07
10 Li 0.3635 0.1365 0.5000  6 O 2.01-2.24, 1 Li 2.07